Record 1
The following is a PBE-GGA calculation of a geometry-optimized CePrTc structure, from the Alexandria database.

- E above lowest polymorph (eV per atom) = 0.054
- Fermi-level density of states (states/eV/cell) = 18.83
- crystal system = monoclinic

```
data_CePrTc
_chemical_formula_sum 'Ce4 Pr4 Tc4'
_space_group_name_H-M_alt 'C 1 2/m 1'
_space_group_IT_number 12
_cell_length_a 8.7297
_cell_length_b 5.7327
_cell_length_c 6.8849
_cell_angle_alpha 90.00
_cell_angle_beta 114.14
_cell_angle_gamma 90.00
loop_
_space_group_symop_operation_xyz
'x,y,z'
'-x,-y,-z'
'-x,y,-z'
'x,-y,z'
'x+1/2,y+1/2,z'
'-x+1/2,-y+1/2,-z'
'-x+1/2,y+1/2,-z'
'x+1/2,-y+1/2,z'
loop_
_atom_site_label
_atom_site_fract_x
_atom_site_fract_y
_atom_site_fract_z
Ce1 0.1983 0.0000 0.0760
Pr1 0.1287 0.5000 0.3609
Tc1 0.0481 0.0000 0.7133
```

Record 2
The following is a PBE-GGA calculation of a geometry-optimized CePrTc structure, from the Alexandria database.

- E above lowest polymorph (eV per atom) = 0.028
- Fermi-level density of states (states/eV/cell) = 15.06
- crystal system = monoclinic

```
data_CePrTc
_chemical_formula_sum 'Ce4 Pr4 Tc4'
_space_group_name_H-M_alt 'P 1 21/c 1'
_space_group_IT_number 14
_cell_length_a 6.7506
_cell_length_b 6.6379
_cell_length_c 7.4146
_cell_angle_alpha 90.00
_cell_angle_beta 100.70
_cell_angle_gamma 90.00
loop_
_space_group_symop_operation_xyz
'x,y,z'
'-x,-y,-z'
'-x,y+1/2,-z+1/2'
'x,-y+1/2,z+1/2'
loop_
_atom_site_label
_atom_site_fract_x
_atom_site_fract_y
_atom_site_fract_z
Ce1 0.1736 0.1759 0.4867
Pr1 0.3519 0.6657 0.6517
Tc1 0.0343 0.5606 0.2813
```

Record 3
The following is a PBE-GGA calculation of a geometry-optimized CePr2Tc structure, from the Alexandria database.

- E above lowest polymorph (eV per atom) = 0.000
- Fermi-level density of states (states/eV/cell) = 21.70
- crystal system = orthorhombic

```
data_CePr2Tc
_chemical_formula_sum 'Ce4 Pr8 Tc4'
_space_group_name_H-M_alt 'P n m a'
_space_group_IT_number 62
_cell_length_a 7.2428
_cell_length_b 10.1437
_cell_length_c 6.4671
_cell_angle_alpha 90.00
_cell_angle_beta 90.00
_cell_angle_gamma 90.00
loop_
_space_group_symop_operation_xyz
'x,y,z'
'-x,-y,-z'
'-x+1/2,-y,z+1/2'
'x+1/2,y,-z+1/2'
'x+1/2,-y+1/2,-z+1/2'
'-x+1/2,y+1/2,z+1/2'
'-x,y+1/2,-z'
'x,-y+1/2,z'
loop_
_atom_site_label
_atom_site_fract_x
_atom_site_fract_y
_atom_site_fract_z
Ce1 0.0574 0.2500 0.1569
Pr1 0.1733 0.0661 0.6759
Tc1 0.1351 0.7500 0.5172
```

Record 4
The following is a PBE-GGA calculation of a geometry-optimized CePrTc4 structure, from the Alexandria database.

- raw total energy (eV/cell) = -207.65
- Fermi-level density of states (states/eV/cell) = 56.99
- crystal system = cubic

```
data_CePrTc4
_chemical_formula_sum 'Ce4 Pr4 Tc16'
_space_group_name_H-M_alt 'F -4 3 m'
_space_group_IT_number 216
_space_group_name_Hall 'F -4 2 3'
_cell_length_a 7.7353
_cell_length_b 7.7353
_cell_length_c 7.7353
_cell_angle_alpha 90.00
_cell_angle_beta 90.00
_cell_angle_gamma 90.00
loop_
_atom_site_label
_atom_site_fract_x
_atom_site_fract_y
_atom_site_fract_z
Ce1 0.0000 0.0000 0.0000
Pr1 0.2500 0.2500 0.7500
Tc1 0.1250 0.1250 0.3750
```

Record 5
The following is a PBE-GGA calculation of a geometry-optimized CePr2Tc structure, from the Alexandria database.

- E above lowest polymorph (eV per atom) = 0.819
- Fermi-level density of states (states/eV/cell) = 25.41
- crystal system = trigonal

```
data_CePr2Tc
_chemical_formula_sum 'Ce3 Pr6 Tc3'
_space_group_name_H-M_alt 'R -3 m'
_space_group_IT_number 166
_space_group_name_Hall '-R 3 2"'
_cell_length_a 3.3874
_cell_length_b 3.3874
_cell_length_c 33.3978
_cell_angle_alpha 90.00
_cell_angle_beta 90.00
_cell_angle_gamma 120.00
loop_
_atom_site_label
_atom_site_fract_x
_atom_site_fract_y
_atom_site_fract_z
Ce1 0.0000 0.0000 0.0000
Pr1 0.0000 0.0000 0.4231
Tc1 0.0000 0.0000 0.5000
```

Record 6
The following is a PBE-GGA calculation of a geometry-optimized CePrTc structure, from the Alexandria database.

- E above lowest polymorph (eV per atom) = 0.162
- Fermi-level density of states (states/eV/cell) = 3.97
- crystal system = trigonal

```
data_CePrTc
_chemical_formula_sum 'Ce1 Pr1 Tc1'
_space_group_name_H-M_alt 'P 3 m 1'
_space_group_IT_number 156
_cell_length_a 4.7470
_cell_length_b 4.7470
_cell_length_c 3.6844
_cell_angle_alpha 90.00
_cell_angle_beta 90.00
_cell_angle_gamma 120.00
loop_
_space_group_symop_operation_xyz
'x,y,z'
'-y,x-y,z'
'-x+y,-x,z'
'-y,-x,z'
'-x+y,y,z'
'x,x-y,z'
loop_
_atom_site_label
_atom_site_fract_x
_atom_site_fract_y
_atom_site_fract_z
Ce1 0.0000 0.0000 0.0000
Pr1 0.3333 0.6667 0.4214
Tc1 0.6667 0.3333 0.7752
```

Record 7
The following is a PBE-GGA calculation of a geometry-optimized CePrZnTc structure, from the Alexandria database.

- raw total energy (eV/cell) = -89.65
- Fermi-level density of states (states/eV/cell) = 23.26
- crystal system = cubic

```
data_CePrZnTc
_chemical_formula_sum 'Ce4 Pr4 Zn4 Tc4'
_space_group_name_H-M_alt 'F -4 3 m'
_space_group_IT_number 216
_space_group_name_Hall 'F -4 2 3'
_cell_length_a 7.1552
_cell_length_b 7.1552
_cell_length_c 7.1552
_cell_angle_alpha 90.00
_cell_angle_beta 90.00
_cell_angle_gamma 90.00
loop_
_atom_site_label
_atom_site_fract_x
_atom_site_fract_y
_atom_site_fract_z
Ce1 0.0000 0.0000 0.0000
Pr1 0.0000 0.0000 0.5000
Zn1 0.2500 0.2500 0.2500
Tc1 0.2500 0.2500 0.7500
```

Record 8
The following is a PBE-GGA calculation of a geometry-optimized CePr3Te4 structure, from the Alexandria database.

- E above lowest polymorph (eV per atom) = 0.000
- Fermi-level density of states (states/eV/cell) = 21.39
- crystal system = orthorhombic

```
data_CePr3Te4
_chemical_formula_sum 'Ce2 Pr6 Te8'
_space_group_name_H-M_alt 'C m m m'
_space_group_IT_number 65
_space_group_name_Hall '-C 2 2'
_cell_length_a 9.1228
_cell_length_b 12.7857
_cell_length_c 4.4852
_cell_angle_alpha 90.00
_cell_angle_beta 90.00
_cell_angle_gamma 90.00
loop_
_atom_site_label
_atom_site_fract_x
_atom_site_fract_y
_atom_site_fract_z
Ce1 0.0000 0.0000 0.0000
Pr1 0.0000 0.5000 0.0000
Pr2 0.2500 0.2500 0.5000
Te1 0.0000 0.2486 0.0000
Te2 0.2479 0.0000 0.5000
```